A:
The following is a DFT calculation (PBE) of a relaxed KNa3W crystal.

Calculated values
ρ	2.463	Mg/m³
V	39.361	A^3/atom
DOS at the Fermi energy	0.626	states/eV/atom

Cell: 5.817 5.817 5.817 Å, 90.00 90.00 90.00°
Positions (direct):
1 K 0.000 0.000 0.000
2 Na 0.000 0.000 0.500
3 Na 0.000 0.500 0.000
4 Na 0.500 0.000 0.000
5 W 0.500 0.500 0.500



B:
The following is a DFT calculation (PBE) of a relaxed KNa3W crystal.

Calculated values
ρ	2.114	Mg/m³
V	45.869	A^3/atom
DOS at the Fermi energy	0.753	states/eV/atom

Cell: 6.121 6.121 6.121 Å, 90.00 90.00 90.00°
Positions (direct):
1 K 0.000 0.000 0.000
2 Na 0.000 0.500 0.500
3 Na 0.500 0.000 0.500
4 Na 0.500 0.500 0.000
5 W 0.500 0.500 0.500



A is the least stable structure shown above.